# 1
! Ba2HoAgO4 (PBE, optimized geometry); values from VASP
! - total energy (eV for the cell shown) = -48.99
! - formation energy (no corrections) (eV/atom) = -2.235
&SYSTEM
  ibrav = 0, nat = 8, ntyp = 4
/
ATOMIC_SPECIES
O 16.00 O.upf
Ag 107.87 Ag.upf
Ho 164.93 Ho.upf
Ba 137.33 Ba.upf
CELL_PARAMETERS angstrom
-5.2810 3.6346 2.1057
1.3816 -6.5472 0.8709
6.2832 -0.3331 2.4379
ATOMIC_POSITIONS crystal
O 0.9362 0.5730 0.0905
O 0.4825 0.9095 0.8456
O 0.0638 0.1544 0.6369
O 0.5175 0.3631 0.4270
Ag 0.0000 0.5000 0.5000
Ho 0.5000 0.2500 0.7500
Ba 0.5000 0.7500 0.2500
Ba 0.0000 0.0000 0.0000


# 2
! BaHoAg2O4 (PBE, optimized geometry); values from VASP
! - total energy (eV for the cell shown) = -45.84
! - formation energy (no corrections) (eV/atom) = -1.726
&SYSTEM
  ibrav = 0, nat = 8, ntyp = 4
/
ATOMIC_SPECIES
O 16.00 O.upf
Ag 107.87 Ag.upf
Ho 164.93 Ho.upf
Ba 137.33 Ba.upf
CELL_PARAMETERS angstrom
5.9931 0.0000 0.0000
2.9966 4.7706 0.1863
2.9966 0.5767 4.7393
ATOMIC_POSITIONS crystal
O 0.4821 0.1212 0.5098
O 0.5179 0.4902 0.8788
O 0.8869 0.5098 0.1212
O 0.1131 0.8788 0.4902
Ag 0.7882 0.7118 0.7118
Ag 0.2118 0.2882 0.2882
Ho 0.5000 0.5000 0.5000
Ba 0.0000 0.0000 0.0000


# 3
! BaHoAgO3 (PBE, optimized geometry); values from VASP
! - total energy (eV for the cell shown) = -76.64
! - formation energy (no corrections) (eV/atom) = -2.349
&SYSTEM
  ibrav = 0, nat = 12, ntyp = 4
/
ATOMIC_SPECIES
Ag 107.87 Ag.upf
O 16.00 O.upf
Ba 137.33 Ba.upf
Ho 164.93 Ho.upf
CELL_PARAMETERS angstrom
3.6301 0.0000 0.0000
0.0000 10.1485 0.0399
0.0000 -3.2143 6.1808
ATOMIC_POSITIONS crystal
Ag 0.2500 0.9969 0.6801
Ag 0.7500 0.0031 0.3199
O 0.2500 0.2264 0.8542
O 0.7500 0.2329 0.4511
O 0.7500 0.7736 0.1458
O 0.2500 0.5031 0.8138
O 0.7500 0.4969 0.1862
O 0.2500 0.7671 0.5489
Ba 0.7500 0.6924 0.7351
Ba 0.2500 0.3076 0.2649
Ho 0.7500 0.3448 0.8061
Ho 0.2500 0.6552 0.1939


no.,ρ (Mg/m³)
1,5.77
2,7.17
3,6.67